[1]
A relaxed structure of Zn2SiPd. Source: the Open Quantum Materials Database, functional PBE.

The structure belongs to space group F-43m (No. 216); the cell edges are 6.1753, 6.1753 and 6.1753 Å and the angles 90.00°, 90.00° and 90.00°. Symmetry generates all atoms from Zn at (0.0000, 0.0000, 0.0000), Zn at (0.2500, 0.2500, 0.2500), Si at (0.0000, 0.0000, 0.5000) and Pd at (0.2500, 0.2500, 0.7500).

=====

[2]
A relaxed structure of Co8Ni7. Source: the Open Quantum Materials Database, functional PBE.

As for the spin magnetization: 17.67 μB/f.u. Its formation energy is 1.8 kcal/mol of atoms.

The structure belongs to space group P4_2/mnm (No. 136); the cell edges are 8.5457, 8.5457 and 4.5023 Å and the angles 90.00°, 90.00° and 90.00°. Symmetry generates all atoms from Co at (0.0371, 0.3679, 0.0000), Co at (0.0661, 0.2649, 0.5000), Ni at (0.0000, 0.0000, 0.5000), Ni at (0.0992, 0.0992, 0.0000) and Ni at (0.1826, 0.8174, 0.2499).

=====

[3]
A relaxed structure of PmSmIn. Source: the Open Quantum Materials Database, functional PBE.

As for the spin magnetization: 0.84 μB/f.u.

The structure belongs to space group F-43m (No. 216); the cell edges are 7.4716, 7.4716 and 7.4716 Å and the angles 90.00°, 90.00° and 90.00°. Symmetry generates all atoms from Pm at (0.0000, 0.0000, 0.0000), Sm at (0.0000, 0.0000, 0.5000) and In at (0.2500, 0.2500, 0.2500).

=====

Summary of total energy in eV per atom
-3.340, -6.311, -4.170
(order as listed above)